Compound: AlAg3
Source: the Alexandria database
Functional: PBE
Structure: relaxed

It has space group Cmcm (No. 63), with a = 7.871 Å, b = 7.554 Å, c = 5.024 Å, α = 90.00°, β = 90.00° and γ = 90.00°. The distinct sites, in fractional coordinates, are Al at (0.000, 0.095, 0.250), Ag at (0.000, 0.433, 0.250) and Ag at (0.175, 0.221, 0.750).

The spin magnetization is 0.00 Bohr magnetons per cell. The calculation puts the formation enthalpy at 0 K at 0.094 eV/atom.


Compound: Li15ZnIn4
Source: the Alexandria database
Functional: PBE
Structure: relaxed

It has space group P4/mmm (No. 123), with a = 4.104 Å, b = 4.104 Å, c = 21.900 Å, α = 90.00°, β = 90.00° and γ = 90.00°. The distinct sites, in fractional coordinates, are Li at (0.000, 0.000, 0.000), Li at (0.000, 0.000, 0.192), Li at (0.000, 0.000, 0.397), Li at (0.000, 0.500, 0.092), Li at (0.000, 0.500, 0.294), Li at (0.000, 0.500, 0.500), Zn at (0.500, 0.500, 0.000), In at (0.500, 0.500, 0.193) and In at (0.500, 0.500, 0.396).

The spin magnetization is 0.00 Bohr magnetons per cell. The calculation puts the formation enthalpy at 0 K at -0.174 eV/atom.


Compound: BaAsPb4
Source: the Alexandria database
Functional: PBE
Structure: relaxed

It has space group F-43m (No. 216), with a = 9.249 Å, b = 9.249 Å, c = 9.249 Å, α = 90.00°, β = 90.00° and γ = 90.00°. The distinct sites, in fractional coordinates, are Ba at (0.000, 0.000, 0.000), As at (0.250, 0.250, 0.250) and Pb at (0.124, 0.124, 0.624).

The spin magnetization is 0.00 Bohr magnetons per cell. The calculation puts the formation enthalpy at 0 K at -0.020 eV/atom.


Compound: TlInS
Source: the Alexandria database
Functional: PBE
Structure: relaxed

It has space group I4mm (No. 107), with a = 3.623 Å, b = 3.623 Å, c = 12.204 Å, α = 90.00°, β = 90.00° and γ = 90.00°. The distinct sites, in fractional coordinates, are Tl at (0.000, 0.000, 0.000), In at (0.000, 0.000, 0.278) and S at (0.000, 0.000, 0.667).

The spin magnetization is 0.00 Bohr magnetons per cell. Its distance to the lowest polymorph of the same formula is 96 meV per atom. As for the formation energy without anion corrections: -0.692 eV per formula unit.


Compound: NbSnSN2
Source: the Alexandria database
Functional: PBE
Structure: relaxed

It has space group P4/mmm (No. 123), with a = 4.076 Å, b = 4.076 Å, c = 5.149 Å, α = 90.00°, β = 90.00° and γ = 90.00°. The distinct sites, in fractional coordinates, are Nb at (0.000, 0.000, 0.000), Sn at (0.500, 0.500, 0.500), S at (0.000, 0.000, 0.500) and N at (0.000, 0.500, 0.000).

The spin magnetization is 0.31 Bohr magnetons per cell. Its distance to the lowest polymorph of the same formula is 0 meV per atom. As for the formation energy without anion corrections: 0.294 eV per formula unit.


Compound: Zr5Sc3
Source: the Alexandria database
Functional: PBE
Structure: relaxed

It has space group P6_3/mcm (No. 193), with a = 8.8852 Å, b = 8.8852 Å, c = 5.6107 Å, α = 90.00°, β = 90.00° and γ = 120.00°. The distinct sites, in fractional coordinates, are Zr at (0.0000, 0.2092, 0.2500), Zr at (0.3333, 0.6667, 0.0000) and Sc at (0.0000, 0.3973, 0.7500).

The spin magnetization is 5.21 Bohr magnetons per cell. Its distance to the lowest polymorph of the same formula is 253 meV per atom. The calculation puts the formation enthalpy at 0 K at 0.240 eV/atom.


Compound: GdZnPb2
Source: the Alexandria database
Functional: PBE
Structure: relaxed

It has space group R-3m (No. 166, hexagonal axes), with a = 3.5195 Å, b = 3.5195 Å, c = 32.5059 Å, α = 90.00°, β = 90.00° and γ = 120.00°. The distinct sites, in fractional coordinates, are Gd at (0.0000, 0.0000, 0.0000), Zn at (0.0000, 0.0000, 0.5000) and Pb at (0.0000, 0.0000, 0.0976).

The spin magnetization is 21.61 Bohr magnetons per cell. Its distance to the lowest polymorph of the same formula is 436 meV per atom. The calculation puts the formation enthalpy at 0 K at 0.148 eV/atom.


Compound: Mg4BiPt
Source: the Alexandria database
Functional: PBE
Structure: relaxed

It has space group C2/c (No. 15), with a = 8.253 Å, b = 12.657 Å, c = 5.626 Å, α = 90.00°, β = 109.38° and γ = 90.00°. The distinct sites, in fractional coordinates, are Mg at (0.105, 0.170, 0.057), Mg at (0.226, 0.420, 0.367), Bi at (0.000, 0.370, 0.750) and Pt at (0.000, 0.001, 0.250).

The spin magnetization is 0.00 Bohr magnetons per cell. The calculation puts the formation enthalpy at 0 K at -0.422 eV/atom.